No. 1
Material: FeNiF2
Method: DFT, GGA+U
State: relaxed

Cell lengths 5.086, 5.086, 6.174 Å; angles 65.68, 65.68, 90.00 degrees
Atoms (fractional coordinates):
1 F 0.875 0.814 0.750
2 F 0.564 0.125 0.250
3 F 0.375 0.436 0.750
4 F 0.186 0.625 0.250
5 Ni 0.000 0.000 0.000
6 Ni 0.750 0.250 0.500
7 Fe 0.250 0.750 0.500
8 Fe 0.500 0.500 0.000

Calculated values
excess energy over the best structure of this formula in the dataset	49	meV/atom
DOS at the Fermi energy	1.13	states/eV per cell
size of the total moment	5.94	μB/cell


No. 2
Material: Fe3NiF
Method: DFT, GGA+U
State: relaxed

Cell lengths 4.605, 4.605, 4.605 Å; angles 90.00, 90.00, 90.00 degrees
Atoms (fractional coordinates):
1 Ni 0.000 0.000 0.000
2 Fe 0.000 0.500 0.000
3 Fe 0.000 0.000 0.500
4 Fe 0.500 0.000 0.000
5 F 0.500 0.500 0.500

Calculated values
total DFT energy (no corrections)	-3.383	eV/atom
DOS at the Fermi energy	1.68	states/eV per cell
size of the total moment	11.66	μB/cell


No. 3
Material: FeNi2F
Method: DFT, GGA+U
State: relaxed

Cell lengths 6.700, 6.700, 5.325 Å; angles 51.02, 51.02, 90.00 degrees
Atoms (fractional coordinates):
1 Fe 0.000 0.000 0.000
2 Fe 0.750 0.250 0.500
3 Ni 0.875 0.827 0.750
4 Ni 0.577 0.125 0.250
5 Ni 0.173 0.625 0.250
6 Ni 0.375 0.423 0.750
7 F 0.500 0.500 0.000
8 F 0.250 0.750 0.500

Calculated values
excess energy over the best structure of this formula in the dataset	0	meV/atom
DOS at the Fermi energy	1.83	states/eV per cell
size of the total moment	11.82	μB/cell


No. 4
Material: FeNi2F
Method: DFT, GGA+U
State: relaxed

Cell lengths 4.075, 4.075, 4.075 Å; angles 60.00, 60.00, 60.00 degrees
Atoms (fractional coordinates):
1 F 0.000 0.000 0.000
2 Fe 0.500 0.500 0.500
3 Ni 0.750 0.750 0.750
4 Ni 0.250 0.250 0.250

Calculated values
excess energy over the best structure of this formula in the dataset	559	meV/atom
DOS at the Fermi energy	2.37	states/eV per cell
size of the total moment	5.04	μB/cell